# 1
# GGA-PBEsol Mg2Zr, optimized geometry
# Crystal system: tetragonal
# Theoretical density in g/cm3: 3.573
data_Mg2Zr
_chemical_formula_sum 'Mg4 Zr2'
_cell_length_a 3.135
_cell_length_b 3.135
_cell_length_c 13.221
_cell_angle_alpha 90.00
_cell_angle_beta 90.00
_cell_angle_gamma 90.00
_symmetry_space_group_name_H-M 'I 4/m m m'
_symmetry_Int_Tables_number 139
_symmetry_space_group_name_Hall '-I 4 2'
loop_
_atom_site_label
_atom_site_type_symbol
_atom_site_fract_x
_atom_site_fract_y
_atom_site_fract_z
Mg1 Mg 0.000 0.000 0.166
Zr1 Zr 0.000 0.000 0.500

# 2
# GGA-PBEsol Mg2Zr, optimized geometry
# Crystal system: tetragonal
# Theoretical density in g/cm3: 3.416
data_Mg2Zr
_chemical_formula_sum 'Mg8 Zr4'
_cell_length_a 2.991
_cell_length_b 2.991
_cell_length_c 30.402
_cell_angle_alpha 90.00
_cell_angle_beta 90.00
_cell_angle_gamma 90.00
_symmetry_space_group_name_H-M 'I 41/a m d'
_symmetry_Int_Tables_number 141
loop_
_symmetry_equiv_pos_as_xyz
'x,y,z'
'-x,-y,-z'
'-y+1/4,x+3/4,z+1/4'
'y+1/4,-x+3/4,-z+1/4'
'-x+1/2,-y,z+1/2'
'x+1/2,y,-z+1/2'
'y+1/4,-x+1/4,z+3/4'
'-y+1/4,x+1/4,-z+3/4'
'x,-y,-z'
'-x,y,z'
'-y+1/4,-x+1/4,-z+3/4'
'y+1/4,x+1/4,z+3/4'
'-x+1/2,y,-z+1/2'
'x+1/2,-y,z+1/2'
'y+1/4,x+3/4,-z+1/4'
'-y+1/4,-x+3/4,z+1/4'
'x+1/2,y+1/2,z+1/2'
'-x+1/2,-y+1/2,-z+1/2'
'-y+3/4,x+1/4,z+3/4'
'y+3/4,-x+1/4,-z+3/4'
'-x,-y+1/2,z'
'x,y+1/2,-z'
'y+3/4,-x+3/4,z+1/4'
'-y+3/4,x+3/4,-z+1/4'
'x+1/2,-y+1/2,-z+1/2'
'-x+1/2,y+1/2,z+1/2'
'-y+3/4,-x+3/4,-z+1/4'
'y+3/4,x+3/4,z+1/4'
'-x,y+1/2,-z'
'x,-y+1/2,z'
'y+3/4,x+1/4,-z+3/4'
'-y+3/4,-x+1/4,z+3/4'
loop_
_atom_site_label
_atom_site_type_symbol
_atom_site_fract_x
_atom_site_fract_y
_atom_site_fract_z
Mg1 Mg 0.000 0.250 0.296
Zr1 Zr 0.000 0.250 0.875

# 3
# GGA-PBEsol MgZr3, optimized geometry
# Crystal system: trigonal
# Theoretical density in g/cm3: 5.514
data_MgZr3
_chemical_formula_sum 'Mg3 Zr9'
_cell_length_a 3.1653
_cell_length_b 3.1653
_cell_length_c 31.0242
_cell_angle_alpha 90.00
_cell_angle_beta 90.00
_cell_angle_gamma 120.00
_symmetry_space_group_name_H-M 'R -3 m'
_symmetry_Int_Tables_number 166
_symmetry_space_group_name_Hall '-R 3 2"'
loop_
_atom_site_label
_atom_site_type_symbol
_atom_site_fract_x
_atom_site_fract_y
_atom_site_fract_z
Mg1 Mg 0.0000 0.0000 0.0000
Zr1 Zr 0.0000 0.0000 0.2477
Zr2 Zr 0.0000 0.0000 0.5000

# 4
# GGA-PBEsol MgZr2, optimized geometry
# Crystal system: tetragonal
# Theoretical density in g/cm3: 5.286
data_MgZr2
_chemical_formula_sum 'Mg8 Zr16'
_cell_length_a 4.429
_cell_length_b 4.429
_cell_length_c 26.482
_cell_angle_alpha 90.00
_cell_angle_beta 90.00
_cell_angle_gamma 90.00
_symmetry_space_group_name_H-M 'I 41/a m d'
_symmetry_Int_Tables_number 141
loop_
_symmetry_equiv_pos_as_xyz
'x,y,z'
'-x,-y,-z'
'-y+1/4,x+3/4,z+1/4'
'y+1/4,-x+3/4,-z+1/4'
'-x+1/2,-y,z+1/2'
'x+1/2,y,-z+1/2'
'y+1/4,-x+1/4,z+3/4'
'-y+1/4,x+1/4,-z+3/4'
'x,-y,-z'
'-x,y,z'
'-y+1/4,-x+1/4,-z+3/4'
'y+1/4,x+1/4,z+3/4'
'-x+1/2,y,-z+1/2'
'x+1/2,-y,z+1/2'
'y+1/4,x+3/4,-z+1/4'
'-y+1/4,-x+3/4,z+1/4'
'x+1/2,y+1/2,z+1/2'
'-x+1/2,-y+1/2,-z+1/2'
'-y+3/4,x+1/4,z+3/4'
'y+3/4,-x+1/4,-z+3/4'
'-x,-y+1/2,z'
'x,y+1/2,-z'
'y+3/4,-x+3/4,z+1/4'
'-y+3/4,x+3/4,-z+1/4'
'x+1/2,-y+1/2,-z+1/2'
'-x+1/2,y+1/2,z+1/2'
'-y+3/4,-x+3/4,-z+1/4'
'y+3/4,x+3/4,z+1/4'
'-x,y+1/2,-z'
'x,-y+1/2,z'
'y+3/4,x+1/4,-z+3/4'
'-y+3/4,-x+1/4,z+3/4'
loop_
_atom_site_label
_atom_site_type_symbol
_atom_site_fract_x
_atom_site_fract_y
_atom_site_fract_z
Mg1 Mg 0.000 0.250 0.290
Zr1 Zr 0.000 0.250 0.123
Zr2 Zr 0.000 0.250 0.794

# 5
# GGA-PBEsol MgZr2, optimized geometry
# Crystal system: monoclinic
# Theoretical density in g/cm3: 5.227
data_MgZr2
_chemical_formula_sum 'Mg4 Zr8'
_cell_length_a 11.879
_cell_length_b 3.047
_cell_length_c 7.569
_cell_angle_alpha 90.00
_cell_angle_beta 106.45
_cell_angle_gamma 90.00
_symmetry_space_group_name_H-M 'C 1 m 1'
_symmetry_Int_Tables_number 8
loop_
_symmetry_equiv_pos_as_xyz
'x,y,z'
'x,-y,z'
'x+1/2,y+1/2,z'
'x+1/2,-y+1/2,z'
loop_
_atom_site_label
_atom_site_type_symbol
_atom_site_fract_x
_atom_site_fract_y
_atom_site_fract_z
Mg1 Mg 0.000 0.000 0.000
Mg2 Mg 0.160 0.500 0.324
Zr1 Zr 0.107 0.500 0.719
Zr2 Zr 0.277 0.000 0.043
Zr3 Zr 0.326 0.000 0.655
Zr4 Zr 0.433 0.500 0.384

# 6
# GGA-PBEsol MgZr3, optimized geometry
# Crystal system: orthorhombic
# Theoretical density in g/cm3: 5.615
data_MgZr3
_chemical_formula_sum 'Mg1 Zr3'
_cell_length_a 3.075
_cell_length_b 5.188
_cell_length_c 5.524
_cell_angle_alpha 90.00
_cell_angle_beta 90.00
_cell_angle_gamma 90.00
_symmetry_space_group_name_H-M 'P m m 2'
_symmetry_Int_Tables_number 25
loop_
_symmetry_equiv_pos_as_xyz
'x,y,z'
'-x,-y,z'
'-x,y,z'
'x,-y,z'
loop_
_atom_site_label
_atom_site_type_symbol
_atom_site_fract_x
_atom_site_fract_y
_atom_site_fract_z
Mg1 Mg 0.000 0.000 0.000
Zr1 Zr 0.000 0.500 0.662
Zr2 Zr 0.500 0.000 0.510
Zr3 Zr 0.500 0.500 0.174

# 7
# GGA-PBEsol MgZr2, optimized geometry
# Crystal system: trigonal
# Theoretical density in g/cm3: 5.036
data_MgZr2
_chemical_formula_sum 'Mg1 Zr2'
_cell_length_a 3.1865
_cell_length_b 3.1865
_cell_length_c 7.7522
_cell_angle_alpha 90.00
_cell_angle_beta 90.00
_cell_angle_gamma 120.00
_symmetry_space_group_name_H-M 'P -3 m 1'
_symmetry_Int_Tables_number 164
_symmetry_space_group_name_Hall '-P 3 2"'
loop_
_atom_site_label
_atom_site_type_symbol
_atom_site_fract_x
_atom_site_fract_y
_atom_site_fract_z
Mg1 Mg 0.0000 0.0000 0.0000
Zr1 Zr 0.3333 0.6667 0.6571

# 8
# GGA-PBEsol MgZr, optimized geometry
# Crystal system: monoclinic
# Theoretical density in g/cm3: 4.426
data_MgZr
_chemical_formula_sum 'Mg4 Zr4'
_cell_length_a 10.787
_cell_length_b 3.184
_cell_length_c 5.448
_cell_angle_alpha 90.00
_cell_angle_beta 112.08
_cell_angle_gamma 90.00
_symmetry_space_group_name_H-M 'C 1 2/m 1'
_symmetry_Int_Tables_number 12
loop_
_symmetry_equiv_pos_as_xyz
'x,y,z'
'-x,-y,-z'
'-x,y,-z'
'x,-y,z'
'x+1/2,y+1/2,z'
'-x+1/2,-y+1/2,-z'
'-x+1/2,y+1/2,-z'
'x+1/2,-y+1/2,z'
loop_
_atom_site_label
_atom_site_type_symbol
_atom_site_fract_x
_atom_site_fract_y
_atom_site_fract_z
Mg1 Mg 0.127 0.000 0.437
Zr1 Zr 0.126 0.500 0.935

# 9
# GGA-PBEsol MgZr3, optimized geometry
# Crystal system: orthorhombic
# Theoretical density in g/cm3: 5.659
data_MgZr3
_chemical_formula_sum 'Mg1 Zr3'
_cell_length_a 3.165
_cell_length_b 4.197
_cell_length_c 6.584
_cell_angle_alpha 90.00
_cell_angle_beta 90.00
_cell_angle_gamma 90.00
_symmetry_space_group_name_H-M 'P m m m'
_symmetry_Int_Tables_number 47
loop_
_symmetry_equiv_pos_as_xyz
'x,y,z'
'-x,-y,-z'
'-x,-y,z'
'x,y,-z'
'x,-y,-z'
'-x,y,z'
'-x,y,-z'
'x,-y,z'
loop_
_atom_site_label
_atom_site_type_symbol
_atom_site_fract_x
_atom_site_fract_y
_atom_site_fract_z
Mg1 Mg 0.000 0.000 0.000
Zr1 Zr 0.000 0.000 0.500
Zr2 Zr 0.500 0.500 0.255

# 10
# GGA-PBEsol MgZr2, optimized geometry
# Crystal system: tetragonal
# Theoretical density in g/cm3: 5.154
data_MgZr2
_chemical_formula_sum 'Mg4 Zr8'
_cell_length_a 3.004
_cell_length_b 3.004
_cell_length_c 29.529
_cell_angle_alpha 90.00
_cell_angle_beta 90.00
_cell_angle_gamma 90.00
_symmetry_space_group_name_H-M 'I 41/a m d'
_symmetry_Int_Tables_number 141
loop_
_symmetry_equiv_pos_as_xyz
'x,y,z'
'-x,-y,-z'
'-y+1/4,x+3/4,z+1/4'
'y+1/4,-x+3/4,-z+1/4'
'-x+1/2,-y,z+1/2'
'x+1/2,y,-z+1/2'
'y+1/4,-x+1/4,z+3/4'
'-y+1/4,x+1/4,-z+3/4'
'x,-y,-z'
'-x,y,z'
'-y+1/4,-x+1/4,-z+3/4'
'y+1/4,x+1/4,z+3/4'
'-x+1/2,y,-z+1/2'
'x+1/2,-y,z+1/2'
'y+1/4,x+3/4,-z+1/4'
'-y+1/4,-x+3/4,z+1/4'
'x+1/2,y+1/2,z+1/2'
'-x+1/2,-y+1/2,-z+1/2'
'-y+3/4,x+1/4,z+3/4'
'y+3/4,-x+1/4,-z+3/4'
'-x,-y+1/2,z'
'x,y+1/2,-z'
'y+3/4,-x+3/4,z+1/4'
'-y+3/4,x+3/4,-z+1/4'
'x+1/2,-y+1/2,-z+1/2'
'-x+1/2,y+1/2,z+1/2'
'-y+3/4,-x+3/4,-z+1/4'
'y+3/4,x+3/4,z+1/4'
'-x,y+1/2,-z'
'x,-y+1/2,z'
'y+3/4,x+1/4,-z+3/4'
'-y+3/4,-x+1/4,z+3/4'
loop_
_atom_site_label
_atom_site_type_symbol
_atom_site_fract_x
_atom_site_fract_y
_atom_site_fract_z
Mg1 Mg 0.000 0.250 0.375
Zr1 Zr 0.000 0.250 0.793

# 11
# GGA-PBEsol MgZr3, optimized geometry
# Crystal system: orthorhombic
# Theoretical density in g/cm3: 5.648
data_MgZr3
_chemical_formula_sum 'Mg2 Zr6'
_cell_length_a 6.428
_cell_length_b 8.858
_cell_length_c 3.077
_cell_angle_alpha 90.00
_cell_angle_beta 90.00
_cell_angle_gamma 90.00
_symmetry_space_group_name_H-M 'C m m m'
_symmetry_Int_Tables_number 65
_symmetry_space_group_name_Hall '-C 2 2'
loop_
_atom_site_label
_atom_site_type_symbol
_atom_site_fract_x
_atom_site_fract_y
_atom_site_fract_z
Mg1 Mg 0.000 0.000 0.000
Zr1 Zr 0.000 0.500 0.000
Zr2 Zr 0.250 0.250 0.500

# 12
# GGA-PBEsol Mg4Zr3, optimized geometry
# Crystal system: tetragonal
# Theoretical density in g/cm3: 4.017
data_Mg4Zr3
_chemical_formula_sum 'Mg8 Zr6'
_cell_length_a 3.116
_cell_length_b 3.116
_cell_length_c 31.578
_cell_angle_alpha 90.00
_cell_angle_beta 90.00
_cell_angle_gamma 90.00
_symmetry_space_group_name_H-M 'I 4/m m m'
_symmetry_Int_Tables_number 139
_symmetry_space_group_name_Hall '-I 4 2'
loop_
_atom_site_label
_atom_site_type_symbol
_atom_site_fract_x
_atom_site_fract_y
_atom_site_fract_z
Mg1 Mg 0.000 0.000 0.070
Mg2 Mg 0.000 0.000 0.359
Zr1 Zr 0.000 0.000 0.215
Zr2 Zr 0.000 0.000 0.500

no.,energy relative to the elements (eV per atom)
1,0.019
2,0.129
3,0.056
4,0.067
5,0.076
6,0.075
7,0.063
8,0.046
9,0.037
10,0.215
11,0.088
12,0.004